Below is ReAg2As at its PBEsol-relaxed geometry, with properties calculated at the SCAN level.

Formation enthalpy at 0 K: 0.589 eV/atom

Lattice parameters (Å, degrees): 2.9546 4.3426 9.8212 90.00 90.00 90.00
With the nearest neighbours (Å) after each atom.
Element x y z (fractional)
1 Re 0.0000 0.0000 0.0000  4 As 2.63
2 Re 0.5000 0.5000 0.5000  4 As 2.63
3 Ag 0.0000 0.5000 0.2374  4 Ag 2.64, 2 As 2.76
4 Ag 0.0000 0.5000 0.7627  4 Ag 2.64, 2 As 2.76
5 Ag 0.5000 0.0000 0.2626  4 Ag 2.64, 2 As 2.76
6 Ag 0.5000 0.0000 0.7373  4 Ag 2.64, 2 As 2.76
7 As 0.0000 0.0000 0.5000  4 Re 2.63, 4 Ag 2.76
8 As 0.5000 0.5000 0.0000  4 Re 2.63, 4 Ag 2.76

Below is Y2ScRe at its PBEsol-relaxed geometry, with properties calculated at the SCAN level.

Offset from the most stable computed form: 0 meV per atom
Formation enthalpy at 0 K: 0.278 eV/atom

Lattice parameters (Å, degrees): 3.3007 3.3007 30.1059 90.00 90.00 120.00
With the nearest neighbours (Å) after each atom.
Element x y z (fractional)
1 Y 0.0000 0.0000 0.0000  3 Re 2.84
2 Y 0.0000 0.0000 0.2304  9 Y 3.30-3.64, 3 Sc 3.50
3 Y 0.3333 0.6667 0.6667  3 Re 2.84
4 Y 0.3333 0.6667 0.8970  9 Y 3.30-3.64, 3 Sc 3.50
5 Y 0.6667 0.3333 0.3333  3 Re 2.84
6 Y 0.6667 0.3333 0.5637  9 Y 3.30-3.64, 3 Sc 3.50
7 Sc 0.0000 0.0000 0.4660  3 Re 2.68
8 Sc 0.3333 0.6667 0.1327  3 Re 2.68
9 Sc 0.6667 0.3333 0.7993  3 Re 2.68
10 Re 0.0000 0.0000 0.7366  3 Sc 2.68, 3 Y 2.84
11 Re 0.3333 0.6667 0.4032  3 Sc 2.68, 3 Y 2.84
12 Re 0.6667 0.3333 0.0699  3 Sc 2.68, 3 Y 2.84

Below is Li3BiPt at its PBEsol-relaxed geometry, with properties calculated at the SCAN level.

Formation enthalpy at 0 K: -0.182 eV/atom

Lattice parameters (Å, degrees): 4.6242 4.6242 4.6242 90.00 90.00 90.00
With the nearest neighbours (Å) after each atom.
Element x y z (fractional)
1 Li 0.0000 0.0000 0.5000  2 Pt 2.31
2 Li 0.0000 0.5000 0.0000  2 Pt 2.31
3 Li 0.5000 0.0000 0.0000  2 Pt 2.31
4 Bi 0.5000 0.5000 0.5000  12 Li 3.27
5 Pt 0.0000 0.0000 0.0000  6 Li 2.31

Below is CaHgRh at its PBEsol-relaxed geometry, with properties calculated at the SCAN level.

Formation enthalpy at 0 K: -0.085 eV/atom

Lattice parameters (Å, degrees): 6.5296 6.5296 6.5296 90.00 90.00 90.00
With the nearest neighbours (Å) after each atom.
Element x y z (fractional)
1 Ca 0.0000 0.0000 0.0000  4 Hg 2.83
2 Ca 0.0000 0.5000 0.5000  4 Hg 2.83
3 Ca 0.5000 0.0000 0.5000  4 Hg 2.83
4 Ca 0.5000 0.5000 0.0000  4 Hg 2.83
5 Hg 0.2500 0.2500 0.7500  4 Rh 2.83, 4 Ca 2.83
6 Hg 0.2500 0.7500 0.2500  4 Rh 2.83, 4 Ca 2.83
7 Hg 0.7500 0.2500 0.2500  4 Rh 2.83, 4 Ca 2.83
8 Hg 0.7500 0.7500 0.7500  4 Rh 2.83, 4 Ca 2.83
9 Rh 0.0000 0.0000 0.5000  4 Hg 2.83
10 Rh 0.0000 0.5000 0.0000  4 Hg 2.83
11 Rh 0.5000 0.0000 0.0000  4 Hg 2.83
12 Rh 0.5000 0.5000 0.5000  4 Hg 2.83

Below is BiAs2PbBr at its PBEsol-relaxed geometry, with properties calculated at the SCAN level.

Energy relative to the elements, uncorrected: 0.717 eV per atom

Lattice parameters (Å, degrees): 5.3479 5.3479 5.3719 90.00 90.00 90.00
With the nearest neighbours (Å) after each atom.
Element x y z (fractional)
1 Bi 0.0000 0.0000 0.0000  4 Br 3.78, 8 As 3.79
2 As 0.0000 0.5000 0.5000  2 Pb 2.67
3 As 0.5000 0.0000 0.5000  2 Pb 2.67
4 Pb 0.5000 0.5000 0.5000  4 As 2.67, 2 Br 2.69
5 Br 0.5000 0.5000 0.0000  2 Pb 2.69

Below is NaTiO2 at its PBEsol-relaxed geometry, with properties calculated at the SCAN level.

Energy relative to the elements, uncorrected: -2.708 eV per atom

Lattice parameters (Å, degrees): 2.9560 2.9560 16.4640 90.00 90.00 120.00
With the nearest neighbours (Å) after each atom.
Element x y z (fractional)
1 Na 0.0000 0.0000 0.0000  6 O 2.33
2 Na 0.3333 0.6667 0.6667  6 O 2.33
3 Na 0.6667 0.3333 0.3333  6 O 2.33
4 Ti 0.0000 0.0000 0.5000  6 O 2.06
5 Ti 0.3333 0.6667 0.1667  6 O 2.06
6 Ti 0.6667 0.3333 0.8333  6 O 2.06
7 O 0.0000 0.0000 0.2367  3 Ti 2.06
8 O 0.0000 0.0000 0.7633  3 Ti 2.06
9 O 0.3333 0.6667 0.4300  3 Ti 2.06
10 O 0.3333 0.6667 0.9033  3 Ti 2.06
11 O 0.6667 0.3333 0.0967  3 Ti 2.06
12 O 0.6667 0.3333 0.5700  3 Ti 2.06

Below is BaMn2 at its PBEsol-relaxed geometry, with properties calculated at the SCAN level.

Formation enthalpy at 0 K: 0.375 eV/atom

Lattice parameters (Å, degrees): 3.5896 3.5896 11.3295 90.00 90.00 90.00
With the nearest neighbours (Å) after each atom.
Element x y z (fractional)
1 Ba 0.0000 0.0000 0.0000  10 Mn 3.32-3.45, 4 Ba 3.59
2 Ba 0.5000 0.5000 0.5000  10 Mn 3.32-3.45, 4 Ba 3.59
3 Mn 0.0000 0.0000 0.2931  4 Mn 2.72
4 Mn 0.0000 0.0000 0.7069  4 Mn 2.72
5 Mn 0.5000 0.5000 0.2069  4 Mn 2.72
6 Mn 0.5000 0.5000 0.7931  4 Mn 2.72

Below is Si3BSe at its PBEsol-relaxed geometry, with properties calculated at the SCAN level.

Offset from the most stable computed form: 0 meV per atom
Energy relative to the elements, uncorrected: 0.875 eV per atom

Lattice parameters (Å, degrees): 4.1969 4.1969 4.1969 90.00 90.00 90.00
With the nearest neighbours (Å) after each atom.
Element x y z (fractional)
1 Si 0.0000 0.0000 0.5000  2 B 2.10
2 Si 0.0000 0.5000 0.0000  2 B 2.10
3 Si 0.5000 0.0000 0.0000  2 B 2.10
4 B 0.0000 0.0000 0.0000  6 Si 2.10
5 Se 0.5000 0.5000 0.5000  12 Si 2.97

Below is MgZrReI2 at its PBEsol-relaxed geometry, with properties calculated at the SCAN level.

Energy relative to the elements, uncorrected: 0.896 eV per atom

Lattice parameters (Å, degrees): 5.3840 5.3840 5.0171 90.00 90.00 90.00
With the nearest neighbours (Å) after each atom.
Element x y z (fractional)
1 Mg 0.0000 0.0000 0.0000  8 I 3.68, 4 Zr 3.81
2 Zr 0.5000 0.5000 0.0000  2 Re 2.51
3 Re 0.5000 0.5000 0.5000  2 Zr 2.51, 4 I 2.69
4 I 0.0000 0.5000 0.5000  2 Re 2.69
5 I 0.5000 0.0000 0.5000  2 Re 2.69

Below is CsVFeF6 at its PBEsol-relaxed geometry, with properties calculated at the SCAN level.

Energy relative to the elements, uncorrected: -2.955 eV per atom

Lattice parameters (Å, degrees): 7.3691 7.3691 7.3691 120.51 119.96 89.60
With the nearest neighbours (Å) after each atom.
Element x y z (fractional)
1 Cs 0.3732 0.1232 0.2500  6 F 3.13-3.30
2 Cs 0.6268 0.8768 0.7500  6 F 3.13-3.30
3 V 0.0000 0.5000 0.5000  6 F 1.95
4 V 0.5000 0.5000 0.0000  6 F 1.95
5 Fe 0.0000 0.0000 0.5000  6 F 1.99-2.03
6 Fe 0.0000 0.5000 0.0000  6 F 1.99-2.03
7 F 0.0741 0.8241 0.2500  2 Fe 1.99
8 F 0.0769 0.4305 0.2592  1 V 1.95, 1 Fe 2.03
9 F 0.0769 0.8177 0.6464  1 V 1.95, 1 Fe 2.03
10 F 0.3109 0.5609 0.7500  2 V 1.95
11 F 0.3287 0.1823 0.7592  1 V 1.95, 1 Fe 2.03
12 F 0.3287 0.5695 0.1464  1 V 1.95, 1 Fe 2.03
13 F 0.6713 0.4305 0.8536  1 V 1.95, 1 Fe 2.03
14 F 0.6713 0.8177 0.2408  1 V 1.95, 1 Fe 2.03
15 F 0.6891 0.4391 0.2500  2 V 1.95
16 F 0.9231 0.1823 0.3536  1 V 1.95, 1 Fe 2.03
17 F 0.9231 0.5695 0.7408  1 V 1.95, 1 Fe 2.03
18 F 0.9259 0.1759 0.7500  2 Fe 1.99

| no. | DFT total energy (eV per formula unit) | N(E_F) (states/eV per cell) |
| --- | --- | --- |
| 1 | -151.67 | 3.577 |
| 2 | -139.91 | 13.093 |
| 3 | -156.85 | 2.633 |
| 4 | -111.86 | 8.671 |
| 5 | -210.62 | 3.602 |
| 6 | -43.54 | 4.160 |
| 7 | -74.94 | 4.409 |
| 8 | -53.18 | 2.001 |
| 9 | -175.77 | 3.020 |
| 10 | -121.26 | 10.579 |